--- A ---
Zn2InCo2: optimized geometry, PBE.

a = 3.599 Å, b = 3.599 Å, c = 6.383 Å
α = 73.62°, β = 73.62°, γ = 90.00°
Atoms (fractional coordinates):
Zn1 0.250 0.750 0.500
Zn2 0.750 0.250 0.500
Co1 0.598 0.598 0.805
Co2 0.402 0.402 0.195
In1 0.000 0.000 0.000

symmetry	I4/mmm
crystal system	tetragonal

---

--- B ---
Zn2InCo2: optimized geometry, PBE.

a = 6.979 Å, b = 6.979 Å, c = 2.864 Å
α = 90.00°, β = 90.00°, γ = 90.00°
Atoms (fractional coordinates):
Zn1 0.125 0.375 0.000
Zn2 0.625 0.125 0.000
Zn3 0.375 0.875 0.000
Zn4 0.875 0.625 0.000
Co1 0.829 0.329 0.500
Co2 0.171 0.671 0.500
Co3 0.329 0.171 0.500
Co4 0.671 0.829 0.500
In1 0.000 0.000 0.000
In2 0.500 0.500 0.000

symmetry	P4/mbm
crystal system	tetragonal

---

Short version: B is the most stable of them.